[1]
This record from Alexandria via LeMat-Bulk describes a geometry-optimized Sc2MnBr structure. The functional is PBE.

formation energy (no corrections) = 0.402 eV per atom
DOS at the Fermi energy = 1.3060 states/eV/atom
E above lowest polymorph = 797.1 meV/atom
spin magnetization = 1.05 μB per formula unit
crystal system = cubic

Cell: 6.958 6.958 6.958 Å, 90.00 90.00 90.00°
Positions (direct):
Sc  0.000  0.000  0.000
Sc  0.000  0.500  0.500
Sc  0.250  0.250  0.250
Sc  0.250  0.750  0.750
Sc  0.500  0.000  0.500
Sc  0.500  0.500  0.000
Sc  0.750  0.250  0.750
Sc  0.750  0.750  0.250
Mn  0.250  0.250  0.750
Mn  0.250  0.750  0.250
Mn  0.750  0.250  0.250
Mn  0.750  0.750  0.750
Br  0.000  0.000  0.500
Br  0.000  0.500  0.000
Br  0.500  0.000  0.000
Br  0.500  0.500  0.500

=====

[2]
This record from Alexandria via LeMat-Bulk describes a geometry-optimized ScMn2Br structure. The functional is PBE.

formation energy (no corrections) = 0.465 eV per atom
DOS at the Fermi energy = 1.6148 states/eV/atom
E above lowest polymorph = 567.7 meV/atom
spin magnetization = 7.10 μB per formula unit
crystal system = cubic

Cell: 6.680 6.680 6.680 Å, 90.00 90.00 90.00°
Positions (direct):
Sc  0.000  0.000  0.000
Sc  0.000  0.500  0.500
Sc  0.500  0.000  0.500
Sc  0.500  0.500  0.000
Mn  0.000  0.000  0.500
Mn  0.000  0.500  0.000
Mn  0.250  0.250  0.250
Mn  0.250  0.750  0.750
Mn  0.500  0.000  0.000
Mn  0.500  0.500  0.500
Mn  0.750  0.250  0.750
Mn  0.750  0.750  0.250
Br  0.250  0.250  0.750
Br  0.250  0.750  0.250
Br  0.750  0.250  0.250
Br  0.750  0.750  0.750

=====

[3]
This record from Alexandria via LeMat-Bulk describes a geometry-optimized Sc3MnBr structure. The functional is PBE.

formation energy (no corrections) = 0.113 eV per atom
DOS at the Fermi energy = 1.2576 states/eV/atom
E above lowest polymorph = 0.0 meV/atom
spin magnetization = 0.60 μB per formula unit
crystal system = cubic

Cell: 4.931 4.931 4.931 Å, 90.00 90.00 90.00°
Positions (direct):
Sc  0.000  0.000  0.500
Sc  0.000  0.500  0.000
Sc  0.500  0.000  0.000
Mn  0.000  0.000  0.000
Br  0.500  0.500  0.500

=====

[4]
This record from Alexandria via LeMat-Bulk describes a geometry-optimized ScMn2Br structure. The functional is PBE.

formation energy (no corrections) = 0.300 eV per atom
DOS at the Fermi energy = 0.8576 states/eV/atom
E above lowest polymorph = 403.0 meV/atom
spin magnetization = 6.74 μB per formula unit
crystal system = tetragonal

Cell: 3.899 3.899 9.742 Å, 90.00 90.00 90.00°
Positions (direct):
Sc  0.000  0.000  0.000
Sc  0.500  0.500  0.500
Mn  0.000  0.500  0.250
Mn  0.000  0.500  0.750
Mn  0.500  0.000  0.250
Mn  0.500  0.000  0.750
Br  0.000  0.000  0.500
Br  0.500  0.500  0.000

=====

[5]
This record from Alexandria via LeMat-Bulk describes a geometry-optimized ScMnBr2 structure. The functional is PBE.

formation energy (no corrections) = -0.277 eV per atom
DOS at the Fermi energy = 0.8227 states/eV/atom
E above lowest polymorph = 396.5 meV/atom
spin magnetization = 3.98 μB per formula unit
crystal system = trigonal

Cell: 3.625 3.625 26.415 Å, 90.00 90.00 120.00°
Positions (direct):
Sc  0.000  0.000  0.000
Sc  0.333  0.667  0.667
Sc  0.667  0.333  0.333
Mn  0.000  0.000  0.500
Mn  0.333  0.667  0.167
Mn  0.667  0.333  0.833
Br  0.000  0.000  0.104
Br  0.000  0.000  0.896
Br  0.333  0.667  0.563
Br  0.333  0.667  0.770
Br  0.667  0.333  0.230
Br  0.667  0.333  0.437

=====

[6]
This record from Alexandria via LeMat-Bulk describes a geometry-optimized ScMn2Br structure. The functional is PBE.

formation energy (no corrections) = -0.103 eV per atom
DOS at the Fermi energy = 0.4680 states/eV/atom
E above lowest polymorph = 0.0 meV/atom
spin magnetization = 0.92 μB per formula unit
crystal system = orthorhombic

Cell: 3.197 3.235 14.684 Å, 90.00 90.00 90.00°
Positions (direct):
Sc  0.000  0.000  0.000
Sc  0.000  0.500  0.500
Mn  0.000  0.000  0.203
Mn  0.000  0.500  0.703
Mn  0.500  0.000  0.626
Mn  0.500  0.500  0.126
Br  0.500  0.000  0.376
Br  0.500  0.500  0.876